PaNbFeO6: relaxed, PBE+U.

Crystal system   trigonal
Energy   -154.68 eV/cell

Cell: 5.570 5.570 8.905 Å, 90.00 90.00 120.00°
Site moments in Bohr magnetons follow the coordinates.
Fractional positions:
O 0.978 0.334 0.132  0.02
O 0.022 0.666 0.868  0.02
O 0.978 0.643 0.368  0.02
Nb 0.667 0.333 0.250  0.00
O 0.334 0.978 0.632  0.02
O 0.666 0.022 0.368  0.02
O 0.334 0.357 0.868  0.02
O 0.643 0.666 0.632  0.02
O 0.357 0.334 0.368  0.02
Nb 0.333 0.667 0.750  0.00
Fe 0.000 0.000 0.500  3.85
O 0.643 0.978 0.868  0.02
O 0.022 0.357 0.632  0.02
O 0.357 0.022 0.132  0.02
Fe 0.000 0.000 0.000  3.85
Pa 0.667 0.333 0.750  0.00
Pa 0.333 0.667 0.250  0.00
O 0.666 0.643 0.132  0.02